SrV2SbO8 | Alexandria via LeMat-Bulk | GGA+U | relaxed; E_tot = -0.5148 Ry/atom; crystal system = monoclinic; symmetry = No. 12; magnetization = 0.00 μB per atom
1.0
-0.371 -3.008 -4.327
4.426 0.018 -2.884
2.607 -5.907 3.716
Sr O Sb V
1 8 1 2
direct
0.000 0.000 0.500
0.735 0.219 0.793
0.265 0.781 0.207
0.718 0.718 0.423
0.233 0.233 0.954
0.282 0.282 0.577
0.781 0.265 0.207
0.767 0.767 0.046
0.219 0.735 0.793
0.000 0.000 0.000
0.634 0.634 0.222
0.366 0.366 0.778